VASP calculation (PBE) on a relaxed BaGa2As crystal.

Computed properties:
DFT formation energy	-520	meV/atom
spin magnetization	0.00	Bohr magnetons per cell

Cell and atoms, written as CIF:
```
data_BaGa2As
_chemical_formula_sum 'Ba2 Ga4 As2'
_symmetry_space_group_name_H-M 'P 1'
_symmetry_Int_Tables_number 1
_symmetry_space_group_name_Hall 'P 1'
_cell_length_a 4.651
_cell_length_b 4.828
_cell_length_c 9.596
_cell_angle_alpha 90.25
_cell_angle_beta 103.74
_cell_angle_gamma 90.57
loop_
_atom_site_label
_atom_site_type_symbol
_atom_site_fract_x
_atom_site_fract_y
_atom_site_fract_z
_atom_site_occupancy
Ba1 Ba 0.000 0.000 0.000 1
Ba2 Ba 0.283 0.993 0.568 1
Ga1 Ga 0.108 0.495 0.284 1
Ga2 Ga 0.535 0.511 0.132 1
Ga3 Ga 0.692 0.512 0.445 1
Ga4 Ga 0.858 0.449 0.719 1
As1 As 0.425 0.514 0.852 1
As2 As 0.687 0.022 0.284 1
```


VASP calculation (PBE) on a relaxed BaGa2As crystal.

Computed properties:
DFT formation energy	-546	meV/atom
spin magnetization	0.00	Bohr magnetons per cell

Cell and atoms, written as CIF:
```
data_BaGa2As
_chemical_formula_sum 'Ba2 Ga4 As2'
_symmetry_space_group_name_H-M 'P 1 m 1'
_symmetry_Int_Tables_number 6
_symmetry_space_group_name_Hall 'P -2y'
_cell_length_a 4.796
_cell_length_b 4.404
_cell_length_c 10.492
_cell_angle_alpha 90.00
_cell_angle_beta 90.19
_cell_angle_gamma 90.00
loop_
_atom_site_label
_atom_site_type_symbol
_atom_site_fract_x
_atom_site_fract_y
_atom_site_fract_z
_atom_site_occupancy
Ba1 Ba 0.000 0.000 0.000 1
Ba2 Ba 0.004 0.500 0.376 1
Ga1 Ga 0.005 0.000 0.619 1
Ga2 Ga 0.504 0.000 0.258 1
Ga3 Ga 0.504 0.000 0.503 1
Ga4 Ga 0.506 0.500 0.638 1
As1 As 0.006 0.500 0.756 1
As2 As 0.501 0.500 0.127 1
```


VASP calculation (PBE) on a relaxed BaGa2As crystal.

Computed properties:
DFT formation energy	-518	meV/atom
spin magnetization	0.00	Bohr magnetons per cell

Cell and atoms, written as CIF:
```
data_BaGa2As
_chemical_formula_sum 'Ba4 Ga8 As4'
_symmetry_space_group_name_H-M 'C 1 m 1'
_symmetry_Int_Tables_number 8
_symmetry_space_group_name_Hall 'C -2y'
_cell_length_a 11.837
_cell_length_b 4.452
_cell_length_c 8.821
_cell_angle_alpha 90.00
_cell_angle_beta 113.05
_cell_angle_gamma 90.00
loop_
_atom_site_label
_atom_site_type_symbol
_atom_site_fract_x
_atom_site_fract_y
_atom_site_fract_z
_atom_site_occupancy
Ba1 Ba 0.000 0.000 0.000 1
Ba2 Ba 0.211 0.500 0.446 1
Ga1 Ga 0.034 0.000 0.643 1
Ga2 Ga 0.193 0.500 0.955 1
Ga3 Ga 0.264 0.000 0.853 1
Ga4 Ga 0.321 0.000 0.213 1
As1 As 0.413 0.000 0.693 1
As2 As 0.465 0.500 0.338 1
```


VASP calculation (PBE) on a relaxed BaGa2As2 crystal.

Computed properties:
DFT formation energy	-295	meV/atom
spin magnetization	0.00	Bohr magnetons per cell

Cell and atoms, written as CIF:
```
data_BaGa2As2
_chemical_formula_sum 'Ba2 Ga4 As4'
_symmetry_space_group_name_H-M 'P 4/m b m'
_symmetry_Int_Tables_number 127
_symmetry_space_group_name_Hall '-P 4 2ab'
_cell_length_a 8.258
_cell_length_b 8.258
_cell_length_c 3.910
_cell_angle_alpha 90.00
_cell_angle_beta 90.00
_cell_angle_gamma 90.00
loop_
_atom_site_label
_atom_site_type_symbol
_atom_site_fract_x
_atom_site_fract_y
_atom_site_fract_z
_atom_site_occupancy
Ba1 Ba 0.000 0.000 0.000 1
Ga1 Ga 0.140 0.360 0.500 1
As1 As 0.108 0.608 0.000 1
```


VASP calculation (PBE) on a relaxed Ba3Ga2As4 crystal.

Computed properties:
DFT formation energy	-763	meV/atom
spin magnetization	0.00	Bohr magnetons per cell
energy above the lowest structure with this stoichiometry	0.061	eV per atom

Cell and atoms, written as CIF:
```
data_Ba3Ga2As4
_chemical_formula_sum 'Ba12 Ga8 As16'
_symmetry_space_group_name_H-M 'C 1 2/c 1'
_symmetry_Int_Tables_number 15
_symmetry_space_group_name_Hall '-C 2yc'
_cell_length_a 16.171
_cell_length_b 9.096
_cell_length_c 8.178
_cell_angle_alpha 90.00
_cell_angle_beta 90.36
_cell_angle_gamma 90.00
loop_
_atom_site_label
_atom_site_type_symbol
_atom_site_fract_x
_atom_site_fract_y
_atom_site_fract_z
_atom_site_occupancy
Ba1 Ba 0.000 0.025 0.250 1
Ba2 Ba 0.130 0.398 0.884 1
Ga1 Ga 0.173 0.110 0.524 1
As1 As 0.059 0.276 0.513 1
As2 As 0.219 0.071 0.823 1
```


VASP calculation (PBE) on a relaxed BaGa2As crystal.

Computed properties:
DFT formation energy	-567	meV/atom
spin magnetization	0.00	Bohr magnetons per cell

Cell and atoms, written as CIF:
```
data_BaGa2As
_chemical_formula_sum 'Ba4 Ga8 As4'
_symmetry_space_group_name_H-M 'C 1 m 1'
_symmetry_Int_Tables_number 8
_symmetry_space_group_name_Hall 'C -2y'
_cell_length_a 11.912
_cell_length_b 4.411
_cell_length_c 8.881
_cell_angle_alpha 90.00
_cell_angle_beta 115.32
_cell_angle_gamma 90.00
loop_
_atom_site_label
_atom_site_type_symbol
_atom_site_fract_x
_atom_site_fract_y
_atom_site_fract_z
_atom_site_occupancy
Ba1 Ba 0.000 0.000 0.000 1
Ba2 Ba 0.057 0.000 0.497 1
Ga1 Ga 0.172 0.500 0.823 1
Ga2 Ga 0.299 0.500 0.621 1
Ga3 Ga 0.304 0.000 0.307 1
Ga4 Ga 0.417 0.000 0.655 1
As1 As 0.176 0.500 0.306 1
As2 As 0.278 0.000 0.994 1
```


VASP calculation (PBE) on a relaxed BaGaAs crystal.

Computed properties:
DFT formation energy	-662	meV/atom
spin magnetization	0.00	Bohr magnetons per cell
energy above the lowest structure with this stoichiometry	0.103	eV per atom

Cell and atoms, written as CIF:
```
data_BaGaAs
_chemical_formula_sum 'Ba2 Ga2 As2'
_symmetry_space_group_name_H-M 'P -1'
_symmetry_Int_Tables_number 2
_symmetry_space_group_name_Hall '-P 1'
_cell_length_a 4.586
_cell_length_b 5.948
_cell_length_c 7.971
_cell_angle_alpha 110.81
_cell_angle_beta 90.03
_cell_angle_gamma 112.65
loop_
_atom_site_label
_atom_site_type_symbol
_atom_site_fract_x
_atom_site_fract_y
_atom_site_fract_z
_atom_site_occupancy
Ba1 Ba 0.068 0.137 0.283 1
Ga1 Ga 0.313 0.626 0.034 1
As1 As 0.384 0.768 0.391 1
```


VASP calculation (PBE) on a relaxed BaGa2As crystal.

Computed properties:
DFT formation energy	-514	meV/atom
spin magnetization	0.00	Bohr magnetons per cell

Cell and atoms, written as CIF:
```
data_BaGa2As
_chemical_formula_sum 'Ba2 Ga4 As2'
_symmetry_space_group_name_H-M 'C 1 m 1'
_symmetry_Int_Tables_number 8
_symmetry_space_group_name_Hall 'C -2y'
_cell_length_a 11.360
_cell_length_b 5.068
_cell_length_c 4.087
_cell_angle_alpha 90.00
_cell_angle_beta 111.01
_cell_angle_gamma 90.00
loop_
_atom_site_label
_atom_site_type_symbol
_atom_site_fract_x
_atom_site_fract_y
_atom_site_fract_z
_atom_site_occupancy
Ba1 Ba 0.000 0.000 0.000 1
Ga1 Ga 0.235 0.500 0.234 1
Ga2 Ga 0.339 0.000 0.343 1
As1 As 0.082 0.500 0.582 1
```


VASP calculation (PBE) on a relaxed BaGaAs crystal.

Computed properties:
DFT formation energy	-728	meV/atom
spin magnetization	0.00	Bohr magnetons per cell
energy above the lowest structure with this stoichiometry	0.037	eV per atom

Cell and atoms, written as CIF:
```
data_BaGaAs
_chemical_formula_sum 'Ba1 Ga1 As1'
_symmetry_space_group_name_H-M 'P 3 m 1'
_symmetry_Int_Tables_number 156
_symmetry_space_group_name_Hall 'P 3 -2"'
_cell_length_a 4.4251
_cell_length_b 4.4251
_cell_length_c 5.2205
_cell_angle_alpha 90.00
_cell_angle_beta 90.00
_cell_angle_gamma 120.00
loop_
_atom_site_label
_atom_site_type_symbol
_atom_site_fract_x
_atom_site_fract_y
_atom_site_fract_z
_atom_site_occupancy
Ba1 Ba 0.0000 0.0000 0.0000 1
Ga1 Ga 0.6667 0.3333 0.5947 1
As1 As 0.3333 0.6667 0.4141 1
```


VASP calculation (PBE) on a relaxed BaGa2As crystal.

Computed properties:
DFT formation energy	-533	meV/atom
spin magnetization	0.00	Bohr magnetons per cell

Cell and atoms, written as CIF:
```
data_BaGa2As
_chemical_formula_sum 'Ba2 Ga4 As2'
_symmetry_space_group_name_H-M 'P 1 m 1'
_symmetry_Int_Tables_number 6
_symmetry_space_group_name_Hall 'P -2y'
_cell_length_a 4.823
_cell_length_b 4.522
_cell_length_c 9.936
_cell_angle_alpha 90.00
_cell_angle_beta 104.09
_cell_angle_gamma 90.00
loop_
_atom_site_label
_atom_site_type_symbol
_atom_site_fract_x
_atom_site_fract_y
_atom_site_fract_z
_atom_site_occupancy
Ba1 Ba 0.000 0.000 0.000 1
Ba2 Ba 0.209 0.500 0.417 1
Ga1 Ga 0.355 0.000 0.710 1
Ga2 Ga 0.421 0.500 0.844 1
Ga3 Ga 0.637 0.000 0.267 1
Ga4 Ga 0.862 0.500 0.727 1
As1 As 0.557 0.500 0.115 1
As2 As 0.781 0.000 0.566 1
```


| no. | VASP energy (eV per atom) |
| --- | --- |
| 1 | -3.68 |
| 2 | -3.70 |
| 3 | -3.67 |
| 4 | -3.75 |
| 5 | -4.14 |
| 6 | -3.72 |
| 7 | -3.86 |
| 8 | -3.67 |
| 9 | -3.93 |
| 10 | -3.69 |